DFT (PBE+U) results for a relaxed TiMoO4 crystal.

abc: 4.736 5.641 5.596
angles: 113.26 90.00 90.00
Element x y z (fractional)
O  0.700  0.164  0.857
O  0.690  0.633  0.338
O  0.190  0.867  0.662
O  0.310  0.367  0.662
O  0.800  0.664  0.857
O  0.300  0.836  0.143
O  0.200  0.336  0.143
Ti  0.500  0.500  0.000
Mo  0.500  0.000  0.500
O  0.810  0.133  0.338
Mo  0.000  0.500  0.500
Ti  0.000  0.000  0.000

Output
Total energy = -8.16 eV/atom